DFT (PBE-GGA) results for a relaxed structure of Li7Pm3Au4.

* uncorrected energy: -47.2 eV/f.u.
* calculated formation energy: -0.4626 eV per atom
* space-group type: C2/m (12)
* DOS(E_F): 6.90 states/eV/cell

Lattice parameters (Å, degrees): 8.2915 8.2915 10.4707 123.62 123.62 29.59
Sites, in units of the cell vectors:
Li 0.0000 0.0000 0.0000
Li 0.1655 0.1655 0.9303
Li 0.3247 0.3247 0.4942
Li 0.4819 0.4819 0.1895
Li 0.5181 0.5181 0.8105
Li 0.6753 0.6753 0.5058
Li 0.8345 0.8345 0.0697
Pm 0.0000 0.0000 0.5000
Pm 0.2995 0.2995 0.7780
Pm 0.7005 0.7005 0.2220
Au 0.1054 0.1054 0.3176
Au 0.3443 0.3443 0.2482
Au 0.6557 0.6557 0.7518
Au 0.8946 0.8946 0.6824